# 1
# NdDyCu2Si2, relaxed, DFT PBE
data_NdDyCu2Si2
_chemical_formula_sum 'Nd1 Dy1 Cu2 Si2'
_cell_length_a 4.1911
_cell_length_b 4.1911
_cell_length_c 7.6576
_cell_angle_alpha 90.00
_cell_angle_beta 90.00
_cell_angle_gamma 120.00
_symmetry_space_group_name_H-M 'P -3 m 1'
_symmetry_Int_Tables_number 164
_symmetry_space_group_name_Hall '-P 3 2"'
loop_
_atom_site_label
_atom_site_type_symbol
_atom_site_fract_x
_atom_site_fract_y
_atom_site_fract_z
_atom_site_occupancy
Nd1 Nd 0.0000 0.0000 0.0000 1
Dy1 Dy 0.0000 0.0000 0.5000 1
Cu1 Cu 0.3333 0.6667 0.7346 1
Si1 Si 0.3333 0.6667 0.2604 1
# D(E_F)	0.31	states/eV per atom
# E	-5.38	eV per atom

***

# 2
# NdSmDyCu, relaxed, DFT PBE
data_NdSmDyCu
_chemical_formula_sum 'Nd1 Sm1 Dy1 Cu1'
_cell_length_a 3.5647
_cell_length_b 3.5647
_cell_length_c 8.7266
_cell_angle_alpha 90.00
_cell_angle_beta 90.00
_cell_angle_gamma 90.00
_symmetry_space_group_name_H-M 'P 4 m m'
_symmetry_Int_Tables_number 99
loop_
_symmetry_equiv_pos_as_xyz
'x,y,z'
'-y,x,z'
'-x,-y,z'
'y,-x,z'
'-x,y,z'
'y,x,z'
'x,-y,z'
'-y,-x,z'
loop_
_atom_site_label
_atom_site_type_symbol
_atom_site_fract_x
_atom_site_fract_y
_atom_site_fract_z
_atom_site_occupancy
Nd1 Nd 0.0000 0.0000 0.0000 1
Sm1 Sm 0.5000 0.5000 0.6918 1
Dy1 Dy 0.5000 0.5000 0.3040 1
Cu1 Cu 0.0000 0.0000 0.4879 1
# D(E_F)	0.98	states/eV per atom
# E	-4.63	eV per atom